1.
Compound: Y2NbRe
Source: the Alexandria database
Functional: GGA-PBE
Structure: relaxed

Cell: 5.0057 5.0057 5.0057 Å, 60.00 60.00 60.00°
Site moments in Bohr magnetons follow the coordinates.
Atoms (fractional coordinates):
Y: 0.2500 0.2500 0.2500  0.20
Y: 0.7500 0.7500 0.7500  0.20
Nb: 0.0000 0.0000 0.0000  1.70
Re: 0.5000 0.5000 0.5000  -0.01

Energy relative to the lowest polymorph listed for this composition = 0.0 meV/atom
Crystal system = cubic
Energy of formation = 203 kJ/mol of formula units

=====

2.
Compound: AcCeYCd
Source: the Alexandria database
Functional: GGA-PBE
Structure: relaxed

Cell: 5.6414 5.6414 5.6414 Å, 60.00 60.00 60.00°
Site moments in Bohr magnetons follow the coordinates.
Atoms (fractional coordinates):
Ce: 0.2500 0.2500 0.2500  0.93
Ac: 0.5000 0.5000 0.5000  0.18
Cd: 0.0000 0.0000 0.0000  0.00
Y: 0.7500 0.7500 0.7500  0.16

Crystal system = cubic
Energy of formation = 42 kJ/mol of formula units

=====

3.
Compound: DyZrGa4
Source: the Alexandria database
Functional: GGA-PBE
Structure: relaxed

Cell: 4.1753 5.6708 5.6708 Å, 79.41 68.40 68.40°
Atoms (fractional coordinates):
Dy: 0.0000 0.0000 0.0000
Zr: 0.5000 0.5000 0.5000
Ga: 0.2480 0.4181 0.0860
Ga: 0.7520 0.9140 0.5819
Ga: 0.7520 0.5819 0.9140
Ga: 0.2480 0.0860 0.4181

Energy relative to the lowest polymorph listed for this composition = 0.0 meV/atom
Crystal system = orthorhombic
Energy of formation = -314 kJ/mol of formula units

=====

4.
Compound: MgScMo2
Source: the Alexandria database
Functional: GGA-PBE
Structure: relaxed

Cell: 2.7479 4.6981 5.5655 Å, 90.00 90.00 90.00°
Atoms (fractional coordinates):
Mo: 0.0000 0.0000 0.4850
Sc: 0.5000 0.5000 0.2500
Mo: 0.0000 0.0000 0.0150
Mg: 0.5000 0.5000 0.7500

Crystal system = orthorhombic
Energy of formation = 110 kJ/mol of formula units

=====

5.
Compound: Pr2SbS
Source: the Alexandria database
Functional: GGA-PBE
Structure: relaxed

Cell: 4.3432 4.3432 21.1496 Å, 90.00 90.00 120.00°
Atoms (fractional coordinates):
S: 0.0000 0.0000 0.5000
Pr: 0.3333 0.6667 0.4275
Pr: 0.6667 0.3333 0.5725
Sb: 0.6667 0.3333 0.8156
Pr: 0.0000 0.0000 0.2755
Pr: 0.0000 0.0000 0.7245
Pr: 0.6667 0.3333 0.0919
S: 0.6667 0.3333 0.3511
S: 0.3333 0.6667 0.6489
Sb: 0.0000 0.0000 0.0000
Sb: 0.3333 0.6667 0.1844
Pr: 0.3333 0.6667 0.9081

Energy relative to the lowest polymorph listed for this composition = 1.8 meV/atom
Crystal system = trigonal
Energy relative to the elements, uncorrected = -6.27 eV/f.u.

=====

6.
Compound: HfS2O8F
Source: the Alexandria database
Functional: GGA-PBE
Structure: relaxed

Cell: 5.9175 5.9175 4.5069 Å, 90.00 90.00 60.02°
Site moments in Bohr magnetons follow the coordinates.
Atoms (fractional coordinates):
O: 0.8020 0.8020 0.1638  0.11
Hf: 0.0000 0.0000 0.0000  -0.02
O: 0.1982 0.6040 0.8357  0.11
O: 0.8018 0.3960 0.1643  0.11
O: 0.3960 0.8018 0.1643  0.11
O: 0.3332 0.3332 0.3987  0.12
O: 0.1980 0.1980 0.8362  0.11
F: 0.0000 0.0000 0.5000  0.04
O: 0.6668 0.6668 0.6013  0.12
O: 0.6040 0.1982 0.8357  0.11
S: 0.6667 0.6667 0.2812  -0.01
S: 0.3333 0.3333 0.7188  -0.01

Crystal system = trigonal
Energy relative to the elements, uncorrected = -20.57 eV/f.u.

=====

7.
Compound: CeDy8Ho5
Source: the Alexandria database
Functional: GGA-PBE
Structure: relaxed

Cell: 8.3883 8.3883 8.3883 Å, 111.78 104.95 111.78°
Site moments in Bohr magnetons follow the coordinates.
Atoms (fractional coordinates):
Ho: 0.8147 0.6785 0.7173  -0.01
Dy: 0.5311 0.6063 0.2808  0.00
Dy: 0.0751 0.7496 0.4689  0.00
Dy: 0.9258 0.0937 0.6628  0.06
Ho: 0.5000 0.0000 0.5000  -0.04
Ho: 0.0388 0.3215 0.1362  -0.01
Ho: 0.2827 0.0974 0.9612  -0.01
Dy: 0.1679 0.7370 0.0742  0.06
Dy: 0.3372 0.2630 0.4309  0.06
Dy: 0.7192 0.2504 0.3255  0.00
Dy: 0.5691 0.9063 0.8321  0.06
Ce: 0.2500 0.5000 0.7500  0.98
Dy: 0.6745 0.3937 0.9249  0.00
Ho: 0.8638 0.9026 0.1853  -0.01

Crystal system = tetragonal
Energy of formation = 364 kJ/mol of formula units

=====

8.
Compound: NaCdN2
Source: the Alexandria database
Functional: GGA-PBE
Structure: relaxed

Cell: 7.4347 7.4347 7.4347 Å, 27.09 27.09 27.09°
Site moments in Bohr magnetons follow the coordinates.
Atoms (fractional coordinates):
Cd: 0.0000 0.0000 0.0000  0.01
N: 0.0955 0.0955 0.0955  1.01
Na: 0.5000 0.5000 0.5000  0.01
N: 0.9045 0.9045 0.9045  1.01

Crystal system = trigonal
Energy relative to the elements, uncorrected = 5.53 eV/f.u.